## Cr2CuBiO8 (GGA+U)

Data for Cr2CuBiO8 after structural relaxation.

abc: 5.961 5.961 5.961
angles: 106.77 106.77 115.02
Site moments in Bohr magnetons follow the coordinates.
Sites, in units of the cell vectors:
O 0.342 0.157 0.815  0.01
O 0.843 0.658 0.185  0.01
O 0.473 0.658 0.815  0.01
O 0.776 0.087 0.688  0.01
O 0.399 0.087 0.312  0.01
O 0.342 0.527 0.185  0.01
O 0.913 0.601 0.688  0.01
O 0.913 0.224 0.312  0.01
Cr 0.500 0.500 0.000  -0.04
Cr 0.750 0.250 0.500  -0.05
Cu 0.000 0.000 0.000  0.17
Bi 0.250 0.750 0.500  0.00

## Properties
ρ ... 5.175 g/cm³
Final energy ... -75.1 eV for the cell shown